[1]
Below is a relaxed Mg3Si4 crystal, with properties calculated at the PBE level.

**Symmetry**: No. 1
**Energy relative to the lowest polymorph listed for this composition**: 6.5 kJ per mole of atoms
**Total magnetization**: 0.00 μB/cell
**Formation energy (no corrections)**: 0.12 eV per atom

Lattice parameters (Å, degrees): 3.8162 8.1722 9.4303 109.64 97.33 91.12
Last column: nearest neighbours and their distance in Å.
Fractional positions:
Mg 0.0957 0.8646 0.5100  6 Si 2.76-3.09
Mg 0.6979 0.9511 0.7964  3 Si 2.81-2.86, 2 Mg 3.06-3.15
Mg 0.7535 0.5925 0.9344  6 Si 2.80-2.98
Mg 0.3247 0.2781 0.9851  3 Si 2.72-2.90
Mg 0.6162 0.5103 0.5226  6 Si 2.79-3.13
Mg 0.2593 0.9401 0.0547  5 Si 2.72-3.01
Si 0.1989 0.3619 0.7222  3 Si 2.43-2.54
Si 0.6585 0.1738 0.6195  3 Si 2.42-2.43
Si 0.4728 0.6571 0.2936  3 Si 2.34-2.39
Si 0.9340 0.4813 0.1897  3 Si 2.35-2.39
Si 0.1801 0.6807 0.7472  1 Si 2.54, 3 Mg 2.79-2.81
Si 0.6341 0.1329 0.3518  4 Si 2.34-2.42
Si 0.8101 0.8507 0.2221  2 Si 2.34-2.37
Si 0.1174 0.2714 0.2975  3 Si 2.34-2.38


[2]
Below is a relaxed Er2CoRu crystal, with properties calculated at the PBE level.

**Symmetry**: No. 123
**E_form**: -303 meV/atom
**Total magnetization**: 0.31 μB/cell

Lattice parameters (Å, degrees): 3.3545 3.3545 6.6141 90.00 90.00 90.00
Last column: nearest neighbours and their distance in Å.
Fractional positions:
Ru 0.5000 0.5000 0.5000  8 Er 2.90
Co 0.5000 0.5000 0.0000  8 Er 2.89
Er 0.0000 0.0000 0.7517  4 Co 2.89, 4 Ru 2.90
Er 0.0000 0.0000 0.2483  4 Co 2.89, 4 Ru 2.90


[3]
Below is a relaxed Pu3H4N3 crystal, with properties calculated at the PBE level.

**Symmetry**: No. 220
**E**: -86.31 eV/f.u.
**Total magnetization**: 22.00 μB/cell

Lattice parameters (Å, degrees): 6.6204 6.6204 6.6204 109.47 109.47 109.47
Last column: nearest neighbours and their distance in Å.
Fractional positions:
Pu 0.1250 0.7500 0.3750  4 H 2.12, 4 N 2.34
Pu 0.3750 0.2500 0.1250  4 H 2.12, 4 N 2.34
Pu 0.6250 0.8750 0.2500  4 H 2.12, 4 N 2.34
Pu 0.8750 0.6250 0.7500  4 H 2.12, 4 N 2.34
Pu 0.2500 0.3750 0.6250  4 H 2.12, 4 N 2.34
Pu 0.7500 0.1250 0.8750  4 H 2.12, 4 N 2.34
H 0.0000 0.0000 0.3457  3 Pu 2.12
H 0.5000 0.3457 0.5000  3 Pu 2.12
H 0.6543 0.1543 0.1543  3 Pu 2.12
H 0.0000 0.0000 0.8457  3 Pu 2.12
H 0.8457 0.5000 0.0000  3 Pu 2.12
H 0.5000 0.8457 0.5000  3 Pu 2.12
H 0.3457 0.5000 0.0000  3 Pu 2.12
H 0.1543 0.6543 0.6543  3 Pu 2.12
N 0.6250 0.7500 0.8750  4 Pu 2.34, 4 H 2.60
N 0.8750 0.2500 0.6250  4 Pu 2.34, 4 H 2.60
N 0.1250 0.3750 0.2500  4 Pu 2.34, 4 H 2.60
N 0.3750 0.1250 0.7500  4 Pu 2.34, 4 H 2.60
N 0.2500 0.8750 0.1250  4 Pu 2.34, 4 H 2.60
N 0.7500 0.6250 0.3750  4 Pu 2.34, 4 H 2.60


[4]
Below is a relaxed KScTa2 crystal, with properties calculated at the PBE level.

**Symmetry**: No. 47
**Energy relative to the lowest polymorph listed for this composition**: 31.6 kJ per mole of atoms
**E_form**: 885 meV/atom
**Total magnetization**: 0.00 μB/cell

Lattice parameters (Å, degrees): 2.9707 4.6111 7.8913 90.00 90.00 90.00
Last column: nearest neighbours and their distance in Å.
Fractional positions:
K 0.5000 0.5000 0.2500  2 K 2.97
Sc 0.5000 0.5000 0.7500  2 Sc 2.97, 8 Ta 3.03
Ta 0.0000 0.0000 0.9141  1 Ta 2.59
Ta 0.0000 0.0000 0.5859  1 Ta 2.59


[5]
Below is a relaxed Sc2TcOs crystal, with properties calculated at the PBE level.

**Symmetry**: No. 123
**E_form**: -183 meV/atom
**Total magnetization**: 0.00 μB/cell

Lattice parameters (Å, degrees): 3.2153 3.2153 6.5354 90.00 90.00 90.00
Last column: nearest neighbours and their distance in Å.
Fractional positions:
Os 0.5000 0.5000 0.7500  8 Sc 2.78
Sc 0.0000 0.0000 0.9952  4 Os 2.78, 4 Tc 2.82
Sc 0.0000 0.0000 0.5048  4 Os 2.78, 4 Tc 2.82
Tc 0.5000 0.5000 0.2500  8 Sc 2.82


[6]
Below is a relaxed HfTlTe2 crystal, with properties calculated at the PBE level.

**Symmetry**: No. 140
**Total magnetization**: 0.00 μB/cell
**Formation energy (no corrections)**: -0.41 eV per atom

Lattice parameters (Å, degrees): 8.8379 8.8379 7.1491 51.82 51.82 90.00
Last column: nearest neighbours and their distance in Å.
Fractional positions:
Tl 0.7500 0.7500 0.5000  2 Tl 3.47, 8 Te 3.69
Tl 0.2500 0.2500 0.5000  2 Tl 3.47, 8 Te 3.69
Te 0.8241 0.3241 0.0000  2 Hf 2.80
Te 0.1759 0.6759 0.0000  2 Hf 2.80
Te 0.3241 0.1759 0.0000  2 Hf 2.80
Te 0.6759 0.8241 0.0000  2 Hf 2.80
Hf 0.7500 0.2500 0.5000  4 Te 2.80
Hf 0.2500 0.7500 0.5000  4 Te 2.80


[7]
Below is a relaxed TiCuBOs2 crystal, with properties calculated at the PBE level.

**Symmetry**: No. 123
**E_form**: 1939 meV/atom
**Total magnetization**: 1.40 μB/cell

Lattice parameters (Å, degrees): 4.5756 4.0407 4.5756 90.00 90.00 90.00
Last column: nearest neighbours and their distance in Å.
Fractional positions:
B 0.0000 0.5000 0.0000  2 Ti 2.02
Os 0.0000 0.0000 0.5000  2 Ti 2.29
Os 0.5000 0.0000 0.0000  2 Ti 2.29
Cu 0.5000 0.5000 0.5000  8 Os 3.05, 4 B 3.24
Ti 0.0000 0.0000 0.0000  2 B 2.02


[8]
Below is a relaxed PmEuCo crystal, with properties calculated at the PBE level.

**Symmetry**: No. 107
**Energy relative to the lowest polymorph listed for this composition**: 0.0 kJ per mole of atoms
**E_form**: 61 meV/atom
**Total magnetization**: 6.64 μB/cell

Lattice parameters (Å, degrees): 3.4920 3.4920 7.0143 104.41 104.41 90.00
Last column: nearest neighbours and their distance in Å.
Fractional positions:
Eu 0.0359 0.0359 0.0718  4 Co 3.07, 1 Pm 3.33
Co 0.6747 0.6747 0.3494  4 Pm 2.89, 4 Eu 3.07
Pm 0.2894 0.2894 0.5789  4 Co 2.89